Record 1
Below is a PBEsol-optimized structure of Sr3Ta2O8, with properties calculated at the meta-GGA SCAN level.

The structure in POSCAR format:
```
Sr3Ta2O8
1.0
6.681 -0.167 0.071
0.714 6.645 0.071
2.674 2.342 8.885
O Ta Sr
16 4 6
Cartesian
3.095 8.130 8.183
5.730 2.896 4.680
8.064 3.573 5.897
6.801 2.468 7.573
2.938 7.993 5.286
7.130 0.827 3.740
4.338 5.924 4.346
3.267 6.352 1.454
3.601 4.220 7.108
2.288 4.128 0.238
2.005 5.246 3.130
6.748 6.976 6.362
6.973 0.689 0.844
6.467 4.600 1.919
3.321 1.843 2.665
7.780 4.692 8.789
1.399 5.523 1.149
8.669 3.297 7.878
6.996 1.831 5.591
3.073 6.988 3.436
5.795 2.193 2.292
7.407 7.135 8.961
4.274 6.627 6.735
3.357 3.588 4.509
6.711 5.232 4.518
2.662 1.684 0.066
```

Output
As for the space group: C2/c (15). The total magnetization is 0.00 μB/cell. The calculation puts the total energy at -22.45 eV/atom. As for the formation energy from raw total energies: -41.97 eV/f.u.

***

Record 2
Below is a PBEsol-optimized structure of SrTa4O11, with properties calculated at the meta-GGA SCAN level.

The structure in POSCAR format:
```
SrTa4O11
1.0
6.247 0.000 0.000
-3.123 5.410 0.000
0.000 0.000 12.383
Ta O Sr
8 22 2
Cartesian
2.245 0.000 0.000
-2.001 3.466 6.191
1.122 1.944 6.191
4.002 0.000 6.191
0.000 3.607 3.096
2.001 3.466 0.000
3.123 1.803 9.287
-1.122 1.944 0.000
4.698 2.015 10.472
-0.604 5.076 1.911
2.153 3.061 10.472
0.771 1.336 0.000
-2.352 4.074 0.000
2.519 0.334 10.472
0.000 3.607 11.950
4.704 0.000 0.000
-0.771 1.336 6.191
2.352 4.074 6.191
0.000 3.607 6.625
-0.970 2.349 1.911
3.728 0.334 8.102
1.549 2.015 8.102
-1.575 3.395 4.281
1.575 3.395 1.911
3.123 1.803 5.758
0.970 2.349 4.281
0.604 5.076 4.281
3.123 1.803 0.433
4.094 3.061 8.102
1.543 0.000 6.191
3.123 1.803 3.096
0.000 3.607 9.287
```

Output
As for the space group: P6_322 (182). The total magnetization is 0.00 μB/cell. The calculation puts the total energy at -25.50 eV/atom. As for the formation energy from raw total energies: -50.88 eV/f.u.

***

Record 3
Below is a PBEsol-optimized structure of SrTa2O6, with properties calculated at the meta-GGA SCAN level.

The structure in POSCAR format:
```
SrTa2O6
1.0
-1.231 -4.433 -3.185
-3.071 -3.494 6.050
-9.815 4.457 -2.409
O Ta Sr
24 8 4
Cartesian
-7.987 -2.491 3.802
-7.454 -2.485 -0.738
-5.250 -4.105 -0.709
-11.911 -2.549 -0.298
-9.190 2.784 -0.650
-4.816 -1.365 -0.826
-2.207 -0.922 0.754
-9.302 -2.105 1.283
-2.621 -4.980 0.275
-1.297 -3.474 -2.332
-12.821 0.003 2.789
-4.928 -6.255 1.107
-7.384 0.336 -1.147
-5.455 -3.960 4.085
-6.734 -3.807 1.604
-8.663 0.490 -3.628
-6.663 -0.985 1.194
-9.888 -0.904 -1.214
-6.131 -0.979 -3.345
-10.093 -0.759 3.579
-4.230 -2.566 1.671
-4.025 -2.711 -3.122
-8.867 0.634 1.165
-11.497 1.509 0.181
-1.451 0.452 -0.437
-5.725 -2.548 0.474
-8.393 -0.923 -0.018
-11.156 -2.203 -2.084
-2.962 -1.267 2.540
-6.882 0.797 -2.995
-12.667 -3.922 0.894
-7.236 -4.267 3.452
-3.368 -4.831 2.721
-8.793 -4.468 0.176
-10.750 1.361 -2.264
-5.324 0.998 0.280
```

Output
As for the space group: Pnma (62). The total magnetization is 0.00 μB/cell. The calculation puts the total energy at -24.69 eV/atom. As for the formation energy from raw total energies: -29.37 eV/f.u.

***

Record 4
Below is a PBEsol-optimized structure of SrTb2O4, with properties calculated at the meta-GGA SCAN level.

The structure in POSCAR format:
```
SrTb2O4
1.0
-3.104 -0.095 -1.428
3.379 -6.359 -6.922
-2.931 -9.160 6.985
O Tb Sr
16 8 4
Cartesian
0.755 -9.976 -3.020
-3.411 -5.638 1.656
0.466 -12.879 -2.197
-0.764 -1.207 -0.303
0.424 -2.550 -2.798
-0.753 -4.793 -0.088
-1.237 -5.305 -3.093
-1.903 -10.821 -1.276
1.359 -6.653 -4.555
-2.579 -8.098 0.012
-4.015 -8.961 3.191
-3.080 -13.065 1.434
-0.077 -7.517 -1.377
-1.892 -14.408 -1.061
-1.419 -10.309 1.729
-3.122 -2.735 0.833
-0.995 -11.563 -3.202
-0.600 -9.320 -0.118
-3.493 -10.911 2.187
-1.661 -4.052 1.838
0.449 -6.925 -6.650
0.837 -4.703 -3.551
-3.105 -8.689 5.286
-2.056 -6.294 -1.246
-0.819 -8.056 -3.817
-1.919 -3.034 -1.761
-0.737 -12.581 0.397
-1.837 -7.559 2.453
```

Output
As for the space group: Pnma (62). The total magnetization is 0.00 μB/cell. The calculation puts the total energy at -23.75 eV/atom. As for the formation energy from raw total energies: -25.51 eV/f.u.

***

Record 5
Below is a PBEsol-optimized structure of Sr3TeO6, with properties calculated at the meta-GGA SCAN level.

The structure in POSCAR format:
```
Sr3TeO6
1.0
5.847 0.000 -0.007
0.000 6.050 0.000
-0.013 0.000 8.366
Sr O Te
6 12 2
Cartesian
-0.007 3.025 4.183
5.754 5.760 6.244
2.996 2.735 6.295
0.079 0.290 2.115
2.837 3.315 2.065
2.923 0.000 -0.003
1.568 1.941 0.369
4.484 1.084 4.549
3.921 4.456 4.704
1.349 4.966 3.811
0.573 3.298 6.530
1.912 1.594 3.656
4.266 4.109 7.991
2.330 0.273 6.016
5.260 2.752 1.830
1.004 4.619 0.524
4.829 1.431 7.836
3.503 5.777 2.344
2.917 0.000 4.180
0.000 3.025 0.000
```

Output
As for the space group: P2_1/c (14). The total magnetization is 0.00 μB/cell. The calculation puts the total energy at -16.72 eV/atom. As for the formation energy from raw total energies: -25.77 eV/f.u.

***

Record 6
Below is a PBEsol-optimized structure of Sr3TeO6, with properties calculated at the meta-GGA SCAN level.

The structure in POSCAR format:
```
Sr3TeO6
1.0
11.739 0.000 0.000
-3.913 11.068 0.000
-3.913 -5.534 9.585
Sr O Te
24 48 8
Cartesian
2.472 1.924 1.505
4.416 4.661 3.326
2.923 8.323 1.821
4.903 0.205 3.288
-2.923 2.584 8.119
7.324 -0.550 5.700
0.990 -2.789 7.764
-0.502 0.873 6.259
-5.354 5.875 7.166
6.836 2.950 1.466
-0.990 5.329 6.297
3.411 -0.323 7.212
6.873 7.113 0.907
-1.441 8.802 0.914
0.953 -1.191 3.878
-3.411 6.084 3.885
4.866 2.771 6.614
0.502 5.857 2.374
2.960 6.725 5.707
1.441 3.610 8.080
-0.953 2.763 2.971
5.354 -3.269 8.671
-2.960 -1.579 8.678
9.267 -0.341 2.419
4.934 -1.186 5.319
8.481 1.916 3.160
10.589 1.201 1.026
1.362 3.698 3.180
6.676 9.579 0.527
-1.362 -0.905 4.792
4.794 1.272 8.562
8.707 -2.517 6.405
3.032 -4.012 8.995
3.514 2.177 3.770
4.568 7.373 0.079
6.806 4.013 3.687
3.032 4.288 5.383
6.464 -0.931 7.972
2.763 5.822 8.032
0.399 3.357 5.815
-3.032 5.784 7.972
-0.655 -1.839 9.506
1.021 -0.334 7.953
6.311 1.536 4.872
4.794 1.272 1.023
-2.398 3.998 4.713
-2.763 -4.045 9.058
1.150 -0.288 1.553
-2.551 6.465 1.613
0.881 1.245 4.203
-4.312 7.710 5.815
-0.881 4.262 8.562
-1.021 6.720 4.266
3.258 -1.779 3.240
2.398 -2.083 5.819
6.945 -0.250 1.613
-4.568 3.618 6.425
0.881 9.546 0.590
5.275 6.439 4.793
-2.893 1.521 5.898
1.515 7.617 3.766
-0.399 6.715 0.000
-0.881 4.262 1.023
5.428 4.987 1.105
2.893 5.868 1.632
8.225 -2.176 3.770
4.312 -1.181 9.585
-6.676 4.333 8.559
-1.515 0.547 8.480
0.655 7.313 6.345
2.551 1.836 6.405
-4.794 8.051 3.180
1.957 2.767 4.793
5.870 0.000 0.000
-1.957 5.534 0.000
-3.913 2.767 4.793
3.913 5.534 0.000
0.000 0.000 0.000
3.913 -2.767 4.793
-1.957 -2.767 4.793
```

Output
As for the space group: Ia-3 (206). The total magnetization is 0.00 μB/cell. The calculation puts the total energy at -16.65 eV/atom. As for the formation energy from raw total energies: -25.07 eV/f.u.

***

Record 7
Below is a PBEsol-optimized structure of Sr3TeO6, with properties calculated at the meta-GGA SCAN level.

The structure in POSCAR format:
```
Sr3TeO6
1.0
11.699 -0.010 -0.015
-5.807 10.214 0.018
-0.059 -6.754 9.595
Te O Sr
8 48 24
Cartesian
2.946 5.102 0.002
0.000 0.000 0.000
-2.904 5.107 0.009
-2.933 1.730 4.807
2.916 1.725 4.799
5.849 -0.005 -0.008
5.820 -3.382 4.790
-0.029 -3.377 4.798
0.061 4.972 4.264
7.290 4.391 1.055
-1.529 0.824 5.850
4.968 9.062 1.271
-0.833 -3.033 6.533
3.192 0.180 3.631
3.919 5.639 1.631
2.129 0.136 9.513
4.465 -1.162 8.559
3.703 3.314 0.085
-4.185 9.217 0.399
6.666 6.483 3.065
5.351 2.232 8.172
0.918 -1.646 4.836
4.914 5.096 4.762
4.849 1.831 4.902
1.367 4.612 1.040
2.904 0.574 6.398
0.984 1.619 4.697
0.097 1.887 8.420
10.114 -2.484 4.051
-1.458 -0.941 8.543
-1.726 2.247 3.406
2.641 3.270 5.968
-1.606 3.935 8.633
7.462 -0.879 8.322
0.864 -5.612 8.327
2.929 2.876 3.201
8.701 -3.296 8.630
-2.638 3.412 5.762
0.482 1.218 1.426
7.439 -0.485 0.966
5.771 -1.523 5.335
7.468 -3.646 5.792
10.018 -5.767 9.199
6.910 -5.773 8.330
8.471 0.038 3.836
-4.281 5.934 5.548
5.736 1.563 1.178
-1.077 9.223 1.269
7.362 2.626 3.748
-2.869 6.746 0.969
1.049 7.291 3.240
4.784 -3.841 6.359
-1.635 7.096 3.807
-1.629 4.329 1.276
1.914 -2.189 7.967
7.559 1.203 6.193
2.674 5.285 3.764
-0.098 3.440 6.250
-0.199 6.758 1.140
6.036 6.778 0.718
6.032 -3.308 8.458
8.468 1.917 1.261
0.466 -0.200 7.045
5.931 0.009 3.349
5.495 0.259 6.902
2.861 -4.677 7.481
-0.203 -3.328 8.880
-3.311 8.369 2.592
-0.506 -0.036 3.553
9.143 -4.920 7.007
-2.895 4.913 3.562
2.972 8.127 2.118
8.727 -1.463 6.036
0.337 3.191 2.697
5.367 3.650 2.553
3.158 -1.835 5.834
2.801 2.237 8.373
6.339 3.486 6.045
-2.635 1.533 8.337
3.032 1.212 1.226
```

Output
As for the space group: P-1 (2). The total magnetization is 0.00 μB/cell. The calculation puts the total energy at -16.73 eV/atom. As for the formation energy from raw total energies: -25.84 eV/f.u.

***

Record 8
Below is a PBEsol-optimized structure of SrTe3O8, with properties calculated at the meta-GGA SCAN level.

The structure in POSCAR format:
```
SrTe3O8
1.0
6.786 0.000 0.000
0.000 6.837 0.000
0.000 0.000 6.837
Te O Sr
6 16 2
Cartesian
3.393 1.503 3.846
0.000 2.991 1.503
3.393 5.334 2.991
3.393 3.418 0.000
0.000 0.000 3.418
0.000 3.846 5.334
1.316 5.535 2.807
0.000 4.641 0.313
0.000 0.807 1.657
2.077 4.030 5.535
0.000 6.030 5.180
0.000 2.196 6.524
5.470 5.535 2.807
1.316 1.302 4.030
3.393 0.313 2.196
4.709 4.030 5.535
2.077 2.807 1.302
5.470 1.302 4.030
4.709 2.807 1.302
3.393 6.524 4.641
3.393 5.180 0.807
3.393 1.657 6.030
1.697 0.000 0.000
5.090 0.000 0.000
```

Output
As for the space group: P4_2/m (84). The total magnetization is 0.00 μB/cell. The calculation puts the total energy at -16.89 eV/atom. As for the formation energy from raw total energies: -18.84 eV/f.u.